No. 1
{"formula": "CuOs", "functional": "PBE-GGA", "state": "relaxed", "space_group": "P4/m", "relative_energy_kj_per_mol_atoms": 38.8, "lattice": [[-3.602, -3.174, 8.017], [8.364, 0.822, 4.083], [-0.603, 2.523, 0.728]], "species": ["Cu", "Cu", "Cu", "Cu", "Cu", "Cu", "Cu", "Cu", "Os", "Os", "Os", "Os", "Os", "Os", "Os", "Os"], "frac_coords": [[0.664, 0.587, 0.500], [0.336, 0.413, 0.500], [0.413, 0.664, 0.500], [0.587, 0.336, 0.500], [0.890, 0.149, 0.000], [0.110, 0.851, 0.000], [0.851, 0.890, 0.000], [0.149, 0.110, 0.000], [0.848, 0.385, 0.500], [0.152, 0.615, 0.500], [0.615, 0.848, 0.500], [0.385, 0.152, 0.500], [0.914, 0.615, 0.000], [0.086, 0.385, 0.000], [0.385, 0.914, 0.000], [0.615, 0.086, 0.000]]}

=====

No. 2
{"formula": "Cu8Os", "functional": "PBE-GGA", "state": "relaxed", "space_group": "I4/mmm", "lattice": [[2.538, 1.050, 5.144], [-2.269, 2.503, -4.753], [-5.119, -1.668, 2.241]], "species": ["Cu", "Cu", "Cu", "Cu", "Cu", "Cu", "Cu", "Cu", "Os"], "frac_coords": [[0.331, 0.331, 0.662], [0.669, 0.669, 0.338], [0.666, 0.000, 0.666], [0.331, 0.669, 0.000], [0.000, 0.334, 0.334], [0.669, 0.331, 0.000], [0.334, 0.000, 0.334], [0.000, 0.666, 0.666], [0.000, 0.000, 0.000]]}

=====

No. 3
{"formula": "CuOs", "functional": "PBE-GGA", "state": "relaxed", "space_group": "Pmmn", "relative_energy_kj_per_mol_atoms": 2.1, "lattice": [[2.730, 0.000, 0.000], [0.000, 5.279, 0.000], [0.000, 0.000, 3.745]], "species": ["Os", "Os", "Cu", "Cu"], "frac_coords": [[0.000, 0.393, 0.000], [0.500, 0.607, 0.500], [0.000, 0.894, 0.000], [0.500, 0.106, 0.500]]}

=====

No. 4
{"formula": "CuOs2", "functional": "PBE-GGA", "state": "relaxed", "space_group": "I4_1/amd", "relative_energy_kj_per_mol_atoms": 38.6, "lattice": [[-1.341, 1.341, 11.944], [1.341, -1.341, 11.944], [1.341, 1.341, -11.944]], "species": ["Cu", "Cu", "Os", "Os", "Os", "Os"], "frac_coords": [[0.000, 0.000, 0.000], [0.750, 0.250, 0.500], [0.580, 0.580, 0.000], [0.170, 0.670, 0.500], [0.420, 0.420, 0.000], [0.330, 0.830, 0.500]]}

=====

No. 5
{"formula": "Cu3Os", "functional": "PBE-GGA", "state": "relaxed", "space_group": "Pmmn", "relative_energy_kj_per_mol_atoms": 26.3, "lattice": [[4.250, 0.000, 0.000], [0.000, 4.488, 0.000], [0.000, 0.000, 5.325]], "species": ["Cu", "Cu", "Cu", "Cu", "Cu", "Cu", "Os", "Os"], "frac_coords": [[0.500, 0.675, 0.000], [0.000, 0.832, 0.250], [0.500, 0.168, 0.250], [0.000, 0.325, 0.500], [0.000, 0.832, 0.750], [0.500, 0.168, 0.750], [0.000, 0.331, 0.000], [0.500, 0.669, 0.500]]}

=====

No. 6
{"formula": "Cu2Os", "functional": "PBE-GGA", "state": "relaxed", "space_group": "I4_1/amd", "relative_energy_kj_per_mol_atoms": 16.1, "lattice": [[3.779, 0.000, 0.000], [0.000, 3.779, 0.000], [-1.890, -1.890, 10.873]], "species": ["Os", "Os", "Os", "Os", "Cu", "Cu", "Cu", "Cu", "Cu", "Cu", "Cu", "Cu"], "frac_coords": [[0.087, 0.087, 0.173], [0.913, 0.913, 0.827], [0.337, 0.837, 0.673], [0.163, 0.663, 0.327], [0.253, 0.253, 0.506], [0.747, 0.747, 0.494], [0.503, 0.003, 0.006], [0.997, 0.497, 0.994], [0.420, 0.420, 0.839], [0.580, 0.580, 0.161], [0.670, 0.170, 0.339], [0.830, 0.330, 0.661]]}

=====

No. 7
{"formula": "Cu3Os", "functional": "PBE-GGA", "state": "relaxed", "space_group": "Cmcm", "relative_energy_kj_per_mol_atoms": 7.3, "lattice": [[-3.314, 3.290, -2.371], [-3.108, -0.152, 4.213], [1.842, 2.910, 1.464]], "species": ["Cu", "Cu", "Cu", "Cu", "Cu", "Cu", "Os", "Os"], "frac_coords": [[0.121, 0.879, 0.250], [0.879, 0.121, 0.750], [0.106, 0.372, 0.250], [0.894, 0.628, 0.750], [0.372, 0.106, 0.750], [0.628, 0.894, 0.250], [0.607, 0.393, 0.250], [0.393, 0.607, 0.750]]}

=====

No. 8
{"formula": "CuOs5", "functional": "PBE-GGA", "state": "relaxed", "space_group": "Cm", "relative_energy_kj_per_mol_atoms": 1.1, "lattice": [[1.380, 4.958, 0.002], [-1.380, 4.958, 0.002], [0.000, 1.562, 6.182]], "species": ["Cu", "Os", "Os", "Os", "Os", "Os"], "frac_coords": [[0.999, 0.999, 0.002], [0.615, 0.615, 0.277], [0.332, 0.332, 0.337], [0.945, 0.945, 0.613], [0.667, 0.667, 0.666], [0.275, 0.275, 0.938]]}

=====

No. 9
{"formula": "CuOs3", "functional": "PBE-GGA", "state": "relaxed", "space_group": "Fm-3m", "relative_energy_kj_per_mol_atoms": 44.9, "lattice": [[-1.611, 0.235, 3.984], [1.643, -2.451, 3.133], [2.311, 1.801, 3.153]], "species": ["Cu", "Os", "Os", "Os"], "frac_coords": [[0.000, 0.000, 0.000], [0.250, 0.250, 0.250], [0.500, 0.500, 0.500], [0.750, 0.750, 0.750]]}

=====

No. 10
{"formula": "CuOs", "functional": "PBE-GGA", "state": "relaxed", "space_group": "P4/nmm", "relative_energy_kj_per_mol_atoms": 2.2, "lattice": [[-2.452, 1.272, -0.159], [-1.261, -2.328, 0.803], [0.596, 1.986, 6.692]], "species": ["Os", "Os", "Cu", "Cu"], "frac_coords": [[0.000, 0.500, 0.622], [0.500, 0.000, 0.378], [0.000, 0.500, 0.113], [0.500, 0.000, 0.887]]}

=====

No. 11
{"formula": "CuOs4", "functional": "PBE-GGA", "state": "relaxed", "space_group": "I4/m", "relative_energy_kj_per_mol_atoms": 0.0, "lattice": [[-3.031, 3.031, 1.910], [3.031, -3.031, 1.910], [3.031, 3.031, -1.910]], "species": ["Cu", "Os", "Os", "Os", "Os"], "frac_coords": [[0.000, 0.000, 0.000], [0.203, 0.412, 0.615], [0.588, 0.203, 0.791], [0.797, 0.588, 0.385], [0.412, 0.797, 0.209]]}

=====

No. 12
{"formula": "CuOs", "functional": "PBE-GGA", "state": "relaxed", "space_group": "I4/m", "relative_energy_kj_per_mol_atoms": 103.4, "lattice": [[9.354, 0.000, 0.000], [0.000, 9.354, 0.000], [0.000, 0.000, 3.782]], "species": ["Cu", "Cu", "Cu", "Cu", "Cu", "Cu", "Cu", "Cu", "Os", "Os", "Os", "Os", "Os", "Os", "Os", "Os"], "frac_coords": [[0.465, 0.693, 0.000], [0.535, 0.307, 0.000], [0.307, 0.465, 0.000], [0.693, 0.535, 0.000], [0.965, 0.193, 0.500], [0.035, 0.807, 0.500], [0.807, 0.965, 0.500], [0.193, 0.035, 0.500], [0.302, 0.198, 0.000], [0.698, 0.802, 0.000], [0.802, 0.302, 0.000], [0.198, 0.698, 0.000], [0.802, 0.698, 0.500], [0.198, 0.302, 0.500], [0.302, 0.802, 0.500], [0.698, 0.198, 0.500]]}

=====

no.,energy relative to the elements (meV/atom)
1,604
2,186
3,223
4,616
5,459
6,376
7,262
8,188
9,621
10,225
11,301
12,1273